No. 1
K2LiMoS4 PBE-GGA optimized geometry; energy relative to the elements, uncorrected = -0.95 eV/atom
1.0
-3.636 3.636 4.165
3.636 -3.636 4.165
3.636 3.636 -4.165
K Li Mo S
2 1 1 4
direct
0.000 0.000 0.000
0.750 0.250 0.500
0.500 0.500 0.000
0.250 0.750 0.500
0.255 0.686 0.142
0.314 0.456 0.569
0.544 0.113 0.858
0.887 0.745 0.431

***

No. 2
Li2GeOsSe PBE-GGA optimized geometry; energy relative to the elements, uncorrected = 0.33 eV/atom
1.0
4.551 0.000 0.000
0.000 4.551 0.000
0.000 0.000 4.606
Li Ge Os Se
2 1 1 1
direct
0.000 0.500 0.000
0.500 0.000 0.000
0.000 0.000 0.500
0.500 0.500 0.500
0.500 0.500 0.000

***

No. 3
NbZnTc2 PBE-GGA optimized geometry; formation energy from the elements = -0.02 eV per atom
1.0
4.274 0.000 0.000
0.000 4.274 0.000
0.000 0.000 3.335
Nb Zn Tc
1 1 2
direct
0.000 0.000 0.000
0.500 0.500 0.000
0.000 0.500 0.500
0.500 0.000 0.500

***

| no. | DOS(E_F) (states/eV/f.u.) |
| --- | --- |
| 1 | 4.4 |
| 2 | 4.3 |
| 3 | 3.9 |